PBE MgBeHS, optimized geometry; symmetry = No. 3; E_tot = -14.25 eV per cell
1.0
3.343 0.000 0.000
0.000 4.692 0.000
-0.009 0.000 3.552
Mg Be H S
1 1 1 1
Cartesian
0.000 0.000 0.000
-0.004 2.311 1.776
-0.004 0.935 1.776
1.667 3.474 1.776